(i)
Entry from the Alexandria database: a crystal of ScCuAg relaxed with PBEsol (SCAN).

Cell and atoms, written as POSCAR:
```
ScCuAg
1.0
0.0000 3.0350 3.0350
3.0350 0.0000 3.0350
3.0350 3.0350 0.0000
Sc Cu Ag
1 1 1
direct
0.0000 0.0000 0.0000
0.2500 0.2500 0.2500
0.5000 0.5000 0.5000
```

Output
Space group: F-43m


(ii)
Entry from the Alexandria database: a crystal of ScCuAg relaxed with PBEsol (SCAN).

Cell and atoms, written as POSCAR:
```
ScCuAg
1.0
-1.6860 1.6860 4.2965
1.6860 -1.6860 4.2965
1.6860 1.6860 -4.2965
Sc Cu Ag
1 1 1
direct
0.0000 0.0000 0.0000
0.3387 0.3387 0.0000
0.6776 0.6776 0.0000
```

Output
Space group: I4mm


Which structure above is the least stable? It is (i).